{"formula": "ScIN2F", "functional": "PBE", "state": "relaxed", "cell": [[4.252, 0.000, 0.000], [0.000, 4.252, 0.000], [0.000, 0.000, 5.886]], "species": ["I", "Sc", "N", "N", "F"], "frac_coords": [[0.000, 0.000, 0.500], [0.000, 0.000, 0.000], [0.000, 0.500, 0.000], [0.500, 0.000, 0.000], [0.500, 0.500, 0.500]], "formation_energy_uncorrected_ev_per_atom": 0.54, "magnetic_moment_mub_per_atom": 0.589}